1.
First-principles (GGA-PBE) data for crystalline LiTc4Rh at its relaxed geometry, as listed in Alexandria via LeMat-Bulk. Values from VASP.

The structure in Quantum ESPRESSO input format:
```
&SYSTEM
  ibrav = 0, nat = 6, ntyp = 3
/
ATOMIC_SPECIES
Li 6.94 Li.upf
Tc 98.00 Tc.upf
Rh 102.91 Rh.upf
ATOMIC_POSITIONS crystal
Li 0.000 0.000 0.000
Tc 0.374 0.374 0.374
Tc 0.374 0.374 0.877
Tc 0.374 0.877 0.374
Tc 0.877 0.374 0.374
Rh 0.750 0.750 0.750
CELL_PARAMETERS angstrom
0.000 3.592 3.592
3.592 0.000 3.592
3.592 3.592 0.000
```

- Mass density: 8.99 g/cm³
- Final energy: -8.083 eV per atom
- Energy of formation from the pure elements: 0.37 eV/atom

=====

2.
First-principles (GGA-PBE) data for crystalline Ga2CuSn at its relaxed geometry, as listed in Alexandria via LeMat-Bulk. Values from VASP.

The structure in Quantum ESPRESSO input format:
```
&SYSTEM
  ibrav = 0, nat = 4, ntyp = 3
/
ATOMIC_SPECIES
Ga 69.72 Ga.upf
Cu 63.55 Cu.upf
Sn 118.71 Sn.upf
ATOMIC_POSITIONS crystal
Ga 0.000 0.500 0.000
Ga 0.500 0.000 0.000
Cu 0.000 0.000 0.500
Sn 0.500 0.500 0.500
CELL_PARAMETERS angstrom
3.917 0.000 0.000
0.000 3.917 0.000
0.000 0.000 5.024
```

- Mass density: 6.93 g/cm³
- Final energy: -3.408 eV per atom
- Energy of formation from the pure elements: 0.13 eV/atom

=====

3.
First-principles (GGA-PBE) data for crystalline Sc2SiIr at its relaxed geometry, as listed in Alexandria via LeMat-Bulk. Values from VASP.

The structure in Quantum ESPRESSO input format:
```
&SYSTEM
  ibrav = 0, nat = 8, ntyp = 3
/
ATOMIC_SPECIES
Sc 44.96 Sc.upf
Si 28.09 Si.upf
Ir 192.22 Ir.upf
ATOMIC_POSITIONS crystal
Sc 0.182 0.250 0.426
Sc 0.223 0.250 0.914
Sc 0.777 0.750 0.086
Sc 0.818 0.750 0.574
Si 0.342 0.750 0.222
Si 0.658 0.250 0.778
Ir 0.366 0.750 0.705
Ir 0.634 0.250 0.295
CELL_PARAMETERS angstrom
5.426 0.000 0.000
0.000 4.287 0.000
-2.365 0.000 6.247
```

- Mass density: 7.09 g/cm³
- Final energy: -7.604 eV per atom
- Raw formation energy: -3.47 eV per formula unit

=====

4.
First-principles (GGA-PBE) data for crystalline BeInAs2 at its relaxed geometry, as listed in Alexandria via LeMat-Bulk. Values from VASP.

The structure in Quantum ESPRESSO input format:
```
&SYSTEM
  ibrav = 0, nat = 4, ntyp = 3
/
ATOMIC_SPECIES
Be 9.01 Be.upf
In 114.82 In.upf
As 74.92 As.upf
ATOMIC_POSITIONS crystal
Be 0.000 0.000 0.000
In 0.500 0.500 0.473
As 0.000 0.000 0.771
As 0.500 0.500 0.147
CELL_PARAMETERS angstrom
2.911 0.000 0.000
0.000 2.911 0.000
0.000 0.000 9.676
```

- Mass density: 5.54 g/cm³
- Final energy: -3.727 eV per atom
- Energy of formation from the pure elements: 0.21 eV/atom